[1]
DFT (PBE-GGA) results for Pr5NdHo12 after structural relaxation.

Geometry as POSCAR:
```
Pr5NdHo12
1.0
5.733 -8.670 0.000
5.733 8.670 0.000
-0.001 0.000 5.967
Pr Nd Ho
5 1 12
direct
0.000 0.000 0.000
0.166 0.834 0.500
0.334 0.666 0.000
0.666 0.334 0.000
0.834 0.166 0.500
0.500 0.500 0.500
0.012 0.345 0.947
0.155 0.488 0.447
0.180 0.180 0.555
0.322 0.322 0.055
0.345 0.012 0.947
0.488 0.155 0.447
0.512 0.845 0.553
0.655 0.988 0.053
0.678 0.678 0.945
0.820 0.820 0.445
0.845 0.512 0.553
0.988 0.655 0.053
```

## Properties
SG = No. 12
E_form = 95 meV/atom
Uncorrected energy = -4.549 eV/atom

***

[2]
DFT (PBE-GGA) results for Pr3Nd2Ho7 after structural relaxation.

Geometry as POSCAR:
```
Pr3Nd2Ho7
1.0
5.867 0.000 0.000
0.000 3.600 0.000
-1.057 0.000 18.938
Pr Nd Ho
3 2 7
direct
0.000 0.000 0.000
0.274 0.500 0.632
0.726 0.500 0.368
0.213 0.000 0.292
0.787 0.000 0.708
0.192 0.500 0.142
0.243 0.000 0.462
0.306 0.000 0.829
0.500 0.500 0.000
0.694 0.000 0.171
0.757 0.000 0.538
0.808 0.500 0.858
```

## Properties
Relative energy among the computed polymorphs = 0 meV/atom
SG = No. 10
E_form = 86 meV/atom
Uncorrected energy = -4.574 eV/atom

***

[3]
DFT (PBE-GGA) results for Pr12Nd2Ho5 after structural relaxation.

Geometry as POSCAR:
```
Pr12Nd2Ho5
1.0
6.587 -5.905 0.000
6.587 5.905 0.000
-4.218 0.000 8.552
Pr Nd Ho
12 2 5
direct
0.061 0.548 0.699
0.078 0.078 0.285
0.112 0.672 0.083
0.328 0.888 0.917
0.385 0.385 0.560
0.452 0.939 0.301
0.548 0.061 0.699
0.615 0.615 0.440
0.672 0.112 0.083
0.888 0.328 0.917
0.922 0.922 0.715
0.939 0.452 0.301
0.226 0.774 0.500
0.774 0.226 0.500
0.189 0.189 0.733
0.304 0.304 0.161
0.500 0.500 0.000
0.696 0.696 0.839
0.811 0.811 0.267
```

## Properties
Relative energy among the computed polymorphs = 12 meV/atom
SG = No. 12
E_form = 107 meV/atom
Uncorrected energy = -4.618 eV/atom

***

[4]
DFT (PBE-GGA) results for PrNd12Ho7 after structural relaxation.

Geometry as POSCAR:
```
PrNd12Ho7
1.0
7.640 4.411 3.393
-7.640 4.411 3.393
0.000 -8.822 3.393
Pr Nd Ho
1 12 7
direct
0.000 0.000 0.000
0.050 0.408 0.296
0.223 0.375 0.670
0.296 0.050 0.408
0.330 0.777 0.625
0.375 0.670 0.223
0.408 0.296 0.050
0.592 0.704 0.950
0.625 0.330 0.777
0.670 0.223 0.375
0.704 0.950 0.592
0.777 0.625 0.330
0.950 0.592 0.704
0.009 0.321 0.895
0.105 0.991 0.679
0.321 0.895 0.009
0.500 0.500 0.500
0.679 0.105 0.991
0.895 0.009 0.321
0.991 0.679 0.105
```

## Properties
Relative energy among the computed polymorphs = 0 meV/atom
SG = No. 148
E_form = 150 meV/atom
Uncorrected energy = -4.551 eV/atom

***

Summary of DOS at the Fermi energy in states/eV/atom
1.604, 1.210, 1.413, 1.720
(order as listed above)